Here is a relaxed Ca2Nd5Ho crystal from the Alexandria database. Energies are from PBE-GGA.

Cell lengths 5.207, 5.207, 11.245 Å; angles 103.39, 103.39, 90.00 degrees
Positions (direct):
Ca 0.750 0.750 0.499
Nd 0.118 0.618 0.235
Nd 0.500 0.500 0.000
Ho 0.000 0.000 0.000
Ca 0.250 0.250 0.501
Nd 0.618 0.118 0.235
Nd 0.382 0.882 0.765
Nd 0.882 0.382 0.765

## Properties
- Calculated density: 5.57 Mg/m³
- Space-group type: I4/mmm (139)
- DOS(E_F): 12.291 states/eV per cell
- ΔE_f: 0.04 eV/atom
- Crystal system: tetragonal
- Total DFT energy (no corrections): -4.010 eV/atom



Here is a relaxed CaNd6Ho crystal from the Alexandria database. Energies are from PBE-GGA.

Cell lengths 5.196, 5.196, 10.409 Å; angles 90.00, 90.00, 90.00 degrees
Positions (direct):
Ho 0.000 0.000 0.500
Nd 0.500 0.000 0.257
Nd 0.500 0.500 0.000
Nd 0.000 0.500 0.257
Ca 0.000 0.000 0.000
Nd 0.500 0.000 0.743
Nd 0.500 0.500 0.500
Nd 0.000 0.500 0.743

## Properties
- Calculated density: 6.32 Mg/m³
- Space-group type: P4/mmm (123)
- DOS(E_F): 12.115 states/eV per cell
- ΔE_f: 0.04 eV/atom
- Crystal system: tetragonal
- Total DFT energy (no corrections): -4.359 eV/atom



Here is a relaxed CaNd12Ho5 crystal from the Alexandria database. Energies are from PBE-GGA.

Cell lengths 15.401, 10.930, 5.172 Å; angles 90.00, 90.00, 45.27 degrees
Positions (direct):
Nd 0.666 0.000 0.000
Ho 0.827 0.346 0.500
Nd 0.831 0.667 0.500
Ho 0.500 0.000 0.500
Ca 0.000 0.000 0.000
Ho 0.173 0.654 0.500
Nd 0.663 0.339 0.000
Nd 0.003 0.661 0.000
Nd 0.334 0.000 0.000
Nd 0.171 0.000 0.500
Nd 0.829 0.000 0.500
Nd 0.337 0.661 0.000
Nd 0.997 0.339 0.000
Nd 0.169 0.333 0.500
Nd 0.502 0.668 0.500
Ho 0.666 0.668 0.000
Nd 0.498 0.332 0.500
Ho 0.334 0.332 0.000

## Properties
- Calculated density: 6.97 Mg/m³
- Space-group type: P2/m (10)
- DOS(E_F): 28.417 states/eV per cell
- ΔE_f: 0.03 eV/atom
- Crystal system: monoclinic
- Total DFT energy (no corrections): -4.527 eV/atom



Here is a relaxed CaNd7Ho3 crystal from the Alexandria database. Energies are from PBE-GGA.

Cell lengths 8.754, 7.246, 7.246 Å; angles 120.00, 90.00, 90.00 degrees
Positions (direct):
Ho 0.787 0.502 0.498
Ca 0.445 0.333 0.667
Nd 0.125 0.667 0.333
Nd 0.105 0.671 0.836
Nd 0.105 0.164 0.329
Ho 0.787 0.995 0.498
Ho 0.787 0.502 0.005
Nd 0.456 0.336 0.168
Nd 0.105 0.164 0.836
Nd 0.456 0.832 0.168
Nd 0.456 0.832 0.664

## Properties
- Calculated density: 6.44 Mg/m³
- Space-group type: P3m1 (156)
- DOS(E_F): 16.029 states/eV per cell
- ΔE_f: 0.21 eV/atom
- Crystal system: trigonal
- Total DFT energy (no corrections): -4.253 eV/atom



Here is a relaxed CaNdHo2 crystal from the Alexandria database. Energies are from PBE-GGA.

Cell lengths 3.659, 3.660, 11.910 Å; angles 90.00, 90.00, 60.00 degrees
Positions (direct):
Ho 0.807 0.037 0.054
Ho 0.807 0.037 0.572
Nd 0.141 0.370 0.813
Ca 0.139 0.372 0.313

## Properties
- Calculated density: 6.18 Mg/m³
- Space-group type: Amm2 (38)
- DOS(E_F): 6.863 states/eV per cell
- ΔE_f: 0.07 eV/atom
- Crystal system: orthorhombic
- Total DFT energy (no corrections): -3.909 eV/atom



Here is a relaxed Ca2Nd4Ho crystal from the Alexandria database. Energies are from PBE-GGA.

Cell lengths 5.776, 5.776, 9.888 Å; angles 106.98, 106.98, 90.00 degrees
Last column: magnetic moment on the atom in μB.
Positions (direct):
Nd 0.828 0.828 0.656  0.04
Nd 0.000 0.500 0.000  0.06
Ca 0.373 0.373 0.746  0.01
Ho 0.000 0.000 0.000  0.19
Nd 0.500 0.000 0.000  0.06
Nd 0.172 0.172 0.344  0.04
Ca 0.627 0.627 0.254  0.01

## Properties
- Calculated density: 4.54 Mg/m³
- Space-group type: I4/mmm (139)
- DOS(E_F): 12.042 states/eV per cell
- ΔE_f: 0.58 eV/atom
- Crystal system: tetragonal
- Total DFT energy (no corrections): -3.367 eV/atom



Here is a relaxed CaNd7Ho3 crystal from the Alexandria database. Energies are from PBE-GGA.

Cell lengths 6.561, 7.832, 7.832 Å; angles 81.88, 86.07, 86.07 degrees
Positions (direct):
Nd 0.000 0.500 0.500
Nd 0.745 0.922 0.576
Ho 0.500 0.000 0.000
Nd 0.745 0.576 0.922
Nd 0.255 0.078 0.424
Ca 0.500 0.500 0.500
Nd 0.209 0.766 0.766
Nd 0.255 0.424 0.078
Ho 0.000 0.834 0.166
Nd 0.791 0.234 0.234
Ho 0.000 0.166 0.834

## Properties
- Calculated density: 6.46 Mg/m³
- Space-group type: C2/m (12)
- DOS(E_F): 14.889 states/eV per cell
- ΔE_f: 0.23 eV/atom
- Crystal system: monoclinic
- Total DFT energy (no corrections): -4.235 eV/atom



Here is a relaxed Ca2Nd12Ho5 crystal from the Alexandria database. Energies are from PBE-GGA.

Cell lengths 7.132, 10.794, 10.773 Å; angles 111.69, 90.00, 109.29 degrees
Positions (direct):
Nd 0.868 0.736 0.694
Ho 0.631 0.262 0.803
Nd 0.575 0.611 0.927
Ho 0.341 0.681 0.702
Nd 0.132 0.264 0.306
Nd 0.964 0.389 0.073
Nd 0.467 0.934 0.609
Nd 0.036 0.611 0.927
Ho 0.000 0.000 0.500
Nd 0.430 0.368 0.600
Nd 0.533 0.066 0.391
Nd 0.061 0.632 0.400
Ca 0.261 0.000 0.000
Ho 0.659 0.319 0.298
Nd 0.425 0.389 0.073
Ho 0.369 0.738 0.197
Nd 0.570 0.632 0.400
Ca 0.739 0.000 0.000
Nd 0.939 0.368 0.600

## Properties
- Calculated density: 6.08 Mg/m³
- Space-group type: C2/m (12)
- DOS(E_F): 28.658 states/eV per cell
- ΔE_f: 0.35 eV/atom
- Crystal system: monoclinic
- Total DFT energy (no corrections): -4.074 eV/atom